# 1
# Ca2AcPb

A relaxed structure of Ca2AcPb (PBE, the Alexandria database).

Unit cell a=5.8861 b=5.8861 c=5.8852 alpha=60.00 beta=60.00 gamma=60.00
Element x y z (fractional)
Ca: 0.2500 0.2500 0.2501
Ca: 0.7500 0.7500 0.7499
Ac: 0.5000 0.5000 0.5000
Pb: 0.0000 0.0000 0.0000

Crystal system: cubic
Calculated total energy, eV/atom: -3.03
Formation energy, eV per atom: -0.075
E above lowest polymorph, kJ/mol of formula units: 97.4

---

# 2
# Tb2ErZn9

A relaxed structure of Tb2ErZn9 (PBE, the Alexandria database).

Unit cell a=5.4372 b=5.4372 c=9.1323 alpha=72.68 beta=72.68 gamma=60.00
Element x y z (fractional)
Zn: 0.5846 0.5846 0.7543
Zn: 0.9234 0.4154 0.2457
Zn: 0.3348 0.3348 0.9957
Zn: 0.5000 0.5000 0.5000
Zn: 0.4154 0.4154 0.2457
Zn: 0.6652 0.6652 0.0043
Zn: 0.5846 0.0766 0.7543
Zn: 0.0766 0.5846 0.7543
Zn: 0.4154 0.9234 0.2457
Tb: 0.8606 0.8606 0.4182
Tb: 0.1394 0.1394 0.5818
Er: 0.0000 0.0000 0.0000

Crystal system: trigonal
Calculated total energy, eV/atom: -2.41
Formation energy, eV per atom: -0.305

---

# 3
# LiPrMgAu2

A relaxed structure of LiPrMgAu2 (PBE, the Alexandria database).

Unit cell a=4.0618 b=4.0618 c=7.2337 alpha=106.31 beta=106.31 gamma=90.00
Element x y z (fractional)
Pr: 0.0000 0.0000 0.0000
Mg: 0.2500 0.7500 0.5000
Au: 0.6094 0.6094 0.2189
Au: 0.3906 0.3906 0.7811
Li: 0.7500 0.2500 0.5000

Crystal system: tetragonal
Calculated total energy, eV/atom: -3.60
Formation energy, eV per atom: -0.634